# 1
# CeCo9Si4

CeCo9Si4 at its PBEsol-relaxed geometry (meta-GGA SCAN, Alexandria via LeMat-Bulk).

Cell and atoms, written as extended XYZ:
```
28
Lattice="-6.864 -3.226 0.877 5.162 -0.366 5.820 -3.342 6.669 -1.624" Properties=species:S:1:pos:R:3 pbc="T T T"
Si -5.020 4.793 0.245
Si 0.113 3.779 3.459
Si -2.787 1.105 4.156
Si -2.258 1.972 0.918
Si -0.024 -1.716 4.828
Si 2.876 0.957 4.132
Si -5.158 -0.702 1.614
Si -7.920 2.120 0.942
Co -6.251 0.601 -0.082
Co -1.179 5.478 2.341
Co -3.866 -2.402 2.732
Co -3.432 -1.613 0.438
Co -3.153 5.098 -1.235
Co -1.671 3.335 -0.812
Co -7.053 -1.655 0.488
Co -2.969 4.270 1.062
Co -2.075 -1.193 4.011
Co -6.260 2.838 -0.639
Co -2.956 0.156 2.086
Co -8.587 3.623 -0.809
Co -3.946 0.605 -0.108
Co -2.089 2.921 2.988
Co -1.619 -0.180 0.062
Co -3.955 2.842 -0.665
Co -0.331 3.380 1.255
Co -4.713 -0.303 3.818
Ce 0.029 0.678 2.723
Ce -5.074 2.399 2.350
```

Output
Formation energy from raw total energies   -0.403 eV/atom

***

# 2
# LaTaBe2

LaTaBe2 at its PBEsol-relaxed geometry (meta-GGA SCAN, Alexandria via LeMat-Bulk).

Cell and atoms, written as extended XYZ:
```
4
Lattice="3.170 0.000 0.000 1.585 2.745 0.000 1.585 0.915 7.990" Properties=species:S:1:pos:R:3 pbc="T T T"
Be 1.585 0.915 1.708
Be 4.755 2.745 6.283
La 3.170 1.830 3.995
Ta 0.000 0.000 0.000
```

Output
Relative energy among the computed polymorphs   0.119 eV per atom

***

# 3
# BaSrS2

BaSrS2 at its PBEsol-relaxed geometry (meta-GGA SCAN, Alexandria via LeMat-Bulk).

Cell and atoms, written as extended XYZ:
```
8
Lattice="-6.767 -0.133 0.782 0.787 -1.988 6.469 3.090 7.470 -1.668" Properties=species:S:1:pos:R:3 pbc="T T T"
Sr -2.990 -1.061 3.626
Sr -3.334 3.138 1.370
Ba 0.444 2.211 4.214
Ba 0.000 0.000 0.000
S 1.586 5.298 -0.216
S -1.211 0.075 5.553
S -4.719 1.008 2.678
S -1.436 4.316 3.153
```

Output
Formation energy from raw total energies   -2.087 eV/atom
Relative energy among the computed polymorphs   0.046 eV per atom

***

# 4
# NaCoOs2C

NaCoOs2C at its PBEsol-relaxed geometry (meta-GGA SCAN, Alexandria via LeMat-Bulk).

Cell and atoms, written as extended XYZ:
```
5
Lattice="3.936 0.000 0.000 0.000 3.936 0.000 0.000 0.000 4.325" Properties=species:S:1:pos:R:3 pbc="T T T"
C 0.000 0.000 0.000
Na 0.000 0.000 2.163
Os 0.000 1.968 0.000
Os 1.968 0.000 0.000
Co 1.968 1.968 2.163
```

***

# 5
# TiPbI3

TiPbI3 at its PBEsol-relaxed geometry (meta-GGA SCAN, Alexandria via LeMat-Bulk).

Cell and atoms, written as extended XYZ:
```
5
Lattice="-3.412 -3.716 -3.404 4.916 -1.548 -3.237 1.110 -4.565 3.869" Properties=species:S:1:pos:R:3 pbc="T T T"
I -1.706 -1.858 -1.702
I 0.555 -2.282 1.935
I 2.458 -0.774 -1.619
Ti 1.307 -4.914 -1.386
Pb 0.000 0.000 0.000
```

Output
Formation energy from raw total energies   0.214 eV/atom

***

# 6
# Tl3GeMo

Tl3GeMo at its PBEsol-relaxed geometry (meta-GGA SCAN, Alexandria via LeMat-Bulk).

Cell and atoms, written as extended XYZ:
```
5
Lattice="-1.228 2.399 4.562 -2.350 -4.435 1.700 4.588 -1.629 2.092" Properties=species:S:1:pos:R:3 pbc="T T T"
Tl -0.614 1.200 2.281
Tl -1.175 -2.217 0.850
Tl 2.294 -0.815 1.046
Mo 0.505 -1.832 4.177
Ge 0.000 0.000 0.000
```

***

# 7
# TaIn2Br

TaIn2Br at its PBEsol-relaxed geometry (meta-GGA SCAN, Alexandria via LeMat-Bulk).

Cell and atoms, written as extended XYZ:
```
4
Lattice="-0.166 4.177 0.704 -4.060 -0.358 1.165 3.475 -2.618 3.592" Properties=species:S:1:pos:R:3 pbc="T T T"
In 0.000 0.000 0.000
In 0.598 1.734 2.615
Br -1.349 -0.533 2.846
Ta -2.113 1.909 0.935
```

Output
Formation energy from raw total energies   0.735 eV/atom
Relative energy among the computed polymorphs   0.635 eV per atom

***

# 8
# LuScCu2

LuScCu2 at its PBEsol-relaxed geometry (meta-GGA SCAN, Alexandria via LeMat-Bulk).

Cell and atoms, written as extended XYZ:
```
4
Lattice="-4.600 0.418 0.223 -2.619 -3.708 0.882 -2.162 -0.388 4.069" Properties=species:S:1:pos:R:3 pbc="T T T"
Cu -7.036 -2.758 3.881
Cu -2.345 -0.919 1.294
Sc 0.000 0.000 0.000
Lu -4.691 -1.839 2.587
```

***

Calculated final energy, -246.002, -115.961, -89.432, -171.529, -200.966, -265.535, -149.877, -101.388 eV/f.u. (same order as the records).